#w
The following is a GGA-PBE calculation of an optimized crystal structure of S, from Alexandria via LeMat-Bulk.

Cell: 8.5966 8.5966 4.4091 Å, 90.00 90.00 120.00°
Last column: nearest neighbours and their distance in Å.
Sites, in units of the cell vectors:
S 0.7523 0.3124 0.6068  2 S 2.07
S 0.2477 0.5601 0.0598  2 S 2.07
S 0.6876 0.4399 0.2735  2 S 2.07
S 0.5601 0.2477 0.9402  2 S 2.07
S 0.4399 0.6876 0.7265  2 S 2.07
S 0.3124 0.7523 0.3932  2 S 2.07
S 0.0981 0.0981 0.5000  2 S 2.07
S 0.9019 0.0000 0.1667  2 S 2.07
S 0.0000 0.9019 0.8333  2 S 2.07

mass density = 1.70 g/cm3
D(E_F) = 0.0 states/eV/f.u.


#x
The following is a GGA-PBE calculation of an optimized crystal structure of S, from Alexandria via LeMat-Bulk.

Cell: 6.8363 6.7364 7.6104 Å, 79.51 85.61 63.90°
Last column: nearest neighbours and their distance in Å.
Sites, in units of the cell vectors:
S 0.8989 0.6902 0.2736  2 S 2.14-2.16
S 0.4494 0.7874 0.6244  1 S 1.92
S 0.3832 0.8351 0.1181  1 S 1.92
S 0.7650 0.9163 0.4646  1 S 1.92
S 0.6866 0.7381 0.0611  2 S 1.92-2.14
S 0.6168 0.1649 0.8819  1 S 1.92
S 0.2350 0.0837 0.5354  1 S 1.92
S 0.3134 0.2619 0.9389  2 S 1.92-2.14
S 0.5506 0.2127 0.3756  1 S 1.92
S 0.1011 0.3099 0.7264  2 S 2.14-2.16

mass density = 1.72 g/cm3
D(E_F) = 0.0 states/eV/f.u.


#y
The following is a GGA-PBE calculation of an optimized crystal structure of S, from Alexandria via LeMat-Bulk.

Cell: 4.4214 5.4032 6.6803 Å, 105.47 101.95 108.40°
Last column: nearest neighbours and their distance in Å.
Sites, in units of the cell vectors:
S 0.6895 0.0775 0.7693  1 S 1.91
S 0.3105 0.9225 0.2307  1 S 1.91
S 0.2242 0.1457 0.4697  1 S 1.91
S 0.7758 0.8543 0.5303  1 S 1.91

mass density = 1.54 g/cm3


Here are the energies relative to the best structure, in meV/atom: #w 0; #x 153; #y 85.


#w
The following is a GGA-PBE calculation of an optimized crystal structure of S, from Alexandria via LeMat-Bulk.

Cell: 8.2947 10.8394 10.3190 Å, 82.81 90.00 90.00°
Last column: nearest neighbours and their distance in Å.
Sites, in units of the cell vectors:
S 0.9308 0.3215 0.8877  2 S 1.98-2.14
S 0.1221 0.4487 0.8308  2 S 2.05-2.14
S 0.4308 0.6785 0.6123  2 S 1.98-2.14
S 0.8111 0.6268 0.5585  2 S 2.05
S 0.3779 0.4487 0.3308  2 S 2.05-2.14
S 0.8939 0.2237 0.7409  1 S 1.98
S 0.1061 0.7763 0.2591  1 S 1.98
S 0.1889 0.3732 0.4415  2 S 2.05
S 0.2904 0.0869 0.4132  2 S 1.98-2.14
S 0.5761 0.9291 0.7429  1 S 1.98
S 0.3939 0.7763 0.7591  1 S 1.98
S 0.0761 0.0709 0.7571  1 S 1.98
S 0.0692 0.6785 0.1123  2 S 1.98-2.14
S 0.8904 0.7766 0.6434  2 S 2.05-2.14
S 0.6096 0.7766 0.1434  2 S 2.05-2.14
S 0.6061 0.2237 0.2409  1 S 1.98
S 0.1096 0.2234 0.3566  2 S 2.05-2.14
S 0.7096 0.9131 0.5868  2 S 1.98-2.14
S 0.7904 0.9131 0.0868  2 S 1.98-2.14
S 0.4239 0.0709 0.2571  1 S 1.98
S 0.9239 0.9291 0.2429  1 S 1.98
S 0.3111 0.3732 0.9415  2 S 2.05
S 0.3904 0.2234 0.8566  2 S 2.05-2.14
S 0.6889 0.6268 0.0585  2 S 2.05
S 0.8779 0.5513 0.1692  2 S 2.05-2.14
S 0.2096 0.0869 0.9132  2 S 1.98-2.14
S 0.6221 0.5513 0.6692  2 S 2.05-2.14
S 0.5692 0.3215 0.3877  2 S 1.98-2.14

mass density = 1.62 g/cm3
D(E_F) = 0.0 states/eV/f.u.


#x
The following is a GGA-PBE calculation of an optimized crystal structure of S, from Alexandria via LeMat-Bulk.

Cell: 13.7243 9.2503 10.6512 Å, 57.50 90.00 90.00°
Last column: nearest neighbours and their distance in Å.
Sites, in units of the cell vectors:
S 0.4443 0.7372 0.2597  2 S 2.06
S 0.5557 0.7372 0.7597  2 S 2.06
S 0.8831 0.8690 0.2978  2 S 2.06
S 0.7969 0.9120 0.8634  2 S 2.06
S 0.1169 0.1310 0.7022  2 S 2.06
S 0.5769 0.2159 0.3468  2 S 2.06
S 0.2031 0.0880 0.1366  2 S 2.06
S 0.6711 0.4152 0.2154  2 S 2.06
S 0.5557 0.2628 0.7403  2 S 2.06
S 0.4231 0.7841 0.6532  2 S 2.06
S 0.8831 0.1310 0.2022  2 S 2.06
S 0.1169 0.8690 0.7978  2 S 2.06
S 0.0232 0.2432 0.5227  2 S 2.06
S 0.5769 0.7841 0.1532  2 S 2.06
S 0.9768 0.2432 0.0227  2 S 2.06
S 0.6495 0.6316 0.6790  2 S 2.06
S 0.3289 0.5848 0.7846  2 S 2.06
S 0.0232 0.7568 0.9773  2 S 2.06
S 0.9768 0.7568 0.4773  2 S 2.06
S 0.1095 0.2860 0.0884  2 S 2.06
S 0.8905 0.2860 0.5884  2 S 2.06
S 0.1095 0.7140 0.4116  2 S 2.06
S 0.4231 0.2159 0.8468  2 S 2.06
S 0.3289 0.4152 0.7154  2 S 2.06
S 0.3505 0.3684 0.3210  2 S 2.06
S 0.3505 0.6316 0.1790  2 S 2.06
S 0.6711 0.5848 0.2846  2 S 2.06
S 0.8905 0.7140 0.9116  2 S 2.06
S 0.6495 0.3684 0.8210  2 S 2.06
S 0.4443 0.2628 0.2403  2 S 2.06
S 0.2031 0.9120 0.3634  2 S 2.06
S 0.7969 0.0880 0.6366  2 S 2.06

mass density = 1.49 g/cm3
D(E_F) = 0.0 states/eV/f.u.


Here are the energies relative to the best structure, in meV/atom: #w 40; #x 0.


#w
The following is a GGA-PBE calculation of an optimized crystal structure of S, from Alexandria via LeMat-Bulk.

Cell: 6.7335 6.7339 7.5915 Å, 84.69 84.67 68.11°
Last column: nearest neighbours and their distance in Å.
Sites, in units of the cell vectors:
S 0.6088 0.1737 0.3876  1 S 1.92
S 0.7621 0.8774 0.4554  2 S 1.92-2.15
S 0.6739 0.1086 0.8876  1 S 1.92
S 0.3912 0.8263 0.6124  1 S 1.92
S 0.1568 0.3434 0.7501  2 S 2.15
S 0.3261 0.8914 0.1124  1 S 1.92
S 0.6225 0.7379 0.0446  2 S 1.92-2.15
S 0.8432 0.6566 0.2499  2 S 2.15
S 0.2379 0.1226 0.5446  2 S 1.92-2.15
S 0.3775 0.2621 0.9554  2 S 1.92-2.15

mass density = 1.68 g/cm3
D(E_F) = 0.0 states/eV/f.u.


#x
The following is a GGA-PBE calculation of an optimized crystal structure of S, from Alexandria via LeMat-Bulk.

Cell: 8.3629 12.5087 22.8618 Å, 90.00 90.00 90.00°
Last column: nearest neighbours and their distance in Å.
Sites, in units of the cell vectors:
S 0.3407 0.6957 0.2570  2 S 2.07
S 0.7024 0.2400 0.4402  2 S 2.07
S 0.9423 0.6201 0.3233  2 S 2.06-2.07
S 0.4825 0.0686 0.5710  2 S 2.07
S 0.8458 0.5324 0.2551  2 S 2.07
S 0.1227 0.0659 0.8933  2 S 2.07
S 0.9784 0.9252 0.2698  2 S 2.07
S 0.1593 0.3043 0.7570  2 S 2.07
S 0.6527 0.4409 0.8994  2 S 2.06-2.07
S 0.0175 0.9314 0.0710  2 S 2.07
S 0.3152 0.0122 0.9419  2 S 2.07
S 0.8773 0.5659 0.6067  2 S 2.07
S 0.4396 0.6098 0.3254  2 S 2.06-2.07
S 0.4991 0.3210 0.4138  2 S 2.06-2.07
S 0.3473 0.9409 0.6006  2 S 2.06-2.07
S 0.9822 0.9070 0.4143  2 S 2.06-2.07
S 0.6542 0.4676 0.7551  2 S 2.07
S 0.5150 0.8032 0.2306  2 S 2.07
S 0.0577 0.1201 0.1767  2 S 2.06-2.07
S 0.9689 0.7021 0.5680  2 S 2.07
S 0.6227 0.4341 0.1067  2 S 2.07
S 0.5009 0.8210 0.0862  2 S 2.06-2.07
S 0.3773 0.9341 0.3933  2 S 2.07
S 0.3892 0.2419 0.3456  2 S 2.06-2.07
S 0.0311 0.2021 0.9320  2 S 2.07
S 0.4784 0.5748 0.7302  2 S 2.07
S 0.2976 0.7400 0.0598  2 S 2.07
S 0.8925 0.2942 0.3907  2 S 2.07
S 0.6593 0.1957 0.2430  2 S 2.07
S 0.3396 0.6687 0.4011  2 S 2.06-2.07
S 0.3925 0.2058 0.6093  2 S 2.07
S 0.1604 0.3313 0.9011  2 S 2.06-2.07
S 0.8152 0.4878 0.0581  2 S 2.07
S 0.1108 0.7581 0.8456  2 S 2.06-2.07
S 0.1542 0.0324 0.2449  2 S 2.07
S 0.9825 0.4314 0.4290  2 S 2.07
S 0.5604 0.1098 0.1746  2 S 2.06-2.07
S 0.8892 0.2581 0.6544  2 S 2.06-2.07
S 0.6108 0.7419 0.1544  2 S 2.06-2.07
S 0.5175 0.5686 0.9290  2 S 2.07
S 0.8396 0.8313 0.5989  2 S 2.06-2.07
S 0.4822 0.5930 0.5857  2 S 2.06-2.07
S 0.5216 0.0748 0.7698  2 S 2.07
S 0.9396 0.8902 0.6746  2 S 2.06-2.07
S 0.4689 0.7979 0.4320  2 S 2.07
S 0.0009 0.6790 0.9138  2 S 2.06-2.07
S 0.9850 0.1968 0.7306  2 S 2.07
S 0.5577 0.3799 0.8233  2 S 2.06-2.07
S 0.0216 0.4252 0.2302  2 S 2.07
S 0.6075 0.7058 0.8907  2 S 2.07
S 0.0178 0.4070 0.0857  2 S 2.06-2.07
S 0.4423 0.8799 0.6767  2 S 2.06-2.07
S 0.8407 0.8043 0.7430  2 S 2.07
S 0.6848 0.5122 0.5581  2 S 2.07
S 0.0150 0.6968 0.7694  2 S 2.07
S 0.5178 0.0930 0.9143  2 S 2.06-2.07
S 0.2024 0.2600 0.5598  2 S 2.07
S 0.1075 0.7942 0.1093  2 S 2.07
S 0.1848 0.9878 0.4419  2 S 2.07
S 0.8473 0.5591 0.3994  2 S 2.06-2.07
S 0.6228 0.0136 0.8452  2 S 2.06-2.07
S 0.3772 0.5136 0.6548  2 S 2.06-2.07
S 0.8772 0.9864 0.3452  2 S 2.06-2.07
S 0.6604 0.1687 0.0989  2 S 2.06-2.07
S 0.7976 0.7600 0.9402  2 S 2.07
S 0.0604 0.3902 0.8254  2 S 2.06-2.07
S 0.1527 0.0591 0.1006  2 S 2.06-2.07
S 0.5311 0.2979 0.0680  2 S 2.07
S 0.1228 0.4864 0.1548  2 S 2.06-2.07
S 0.4850 0.3032 0.2694  2 S 2.07
S 0.9991 0.1790 0.5862  2 S 2.06-2.07
S 0.3458 0.9676 0.7449  2 S 2.07

mass density = 1.60 g/cm3
D(E_F) = 0.0 states/eV/f.u.


#y
The following is a GGA-PBE calculation of an optimized crystal structure of S, from Alexandria via LeMat-Bulk.

Cell: 3.9256 3.9256 9.4772 Å, 90.00 90.00 120.00°
Last column: nearest neighbours and their distance in Å.
Sites, in units of the cell vectors:
S 0.3333 0.6667 0.4708  3 S 2.33
S 0.6667 0.3333 0.5292  3 S 2.33
S 0.3333 0.6667 0.0292  3 S 2.33
S 0.6667 0.3333 0.9708  3 S 2.33

mass density = 1.68 g/cm3
D(E_F) = 0.2 states/eV/f.u.


#z
The following is a GGA-PBE calculation of an optimized crystal structure of S, from Alexandria via LeMat-Bulk.

Cell: 5.9510 3.9362 5.9561 Å, 90.00 119.59 90.00°
Last column: nearest neighbours and their distance in Å.
Sites, in units of the cell vectors:
S 0.9284 0.2500 0.6817  1 S 1.89
S 0.0716 0.7500 0.3183  1 S 1.89
S 0.2507 0.7500 0.6831  1 S 1.89
S 0.7493 0.2500 0.3169  1 S 1.89

mass density = 1.76 g/cm3
D(E_F) = 0.0 states/eV/f.u.


Here are the energies relative to the best structure, in meV/atom: #w 175; #x 0; #y 626; #z 42.